Model 1:
The following is a DFT calculation (GGA-PBE) of crystalline Pr6Dy3Y2 at its relaxed geometry.

Computed properties:
Magnetization ... 0.0 μB/f.u.

CIF file:
```
data_Pr6Dy3Y2
_cell_length_a 6.310
_cell_length_b 8.119
_cell_length_c 8.159
_cell_angle_alpha 107.36
_cell_angle_beta 97.37
_cell_angle_gamma 104.92
_space_group_name_H-M_alt 'P -1'
_space_group_IT_number 2
loop_
_space_group_symop_operation_xyz
'x,y,z'
'-x,-y,-z'
loop_
_atom_site_label
_atom_site_fract_x
_atom_site_fract_y
_atom_site_fract_z
_atom_site_occupancy
Pr1 0.047 0.182 0.409 1
Pr2 0.136 0.546 0.230 1
Pr3 0.321 0.272 0.865 1
Dy1 0.410 0.639 0.682 1
Dy2 0.500 0.000 0.500 1
Y1 0.229 0.911 0.046 1
```

=====

Model 2:
The following is a DFT calculation (GGA-PBE) of crystalline Pr6Dy3Y2 at its relaxed geometry.

Computed properties:
Magnetization ... 0.0 μB/f.u.

CIF file:
```
data_Pr6Dy3Y2
_cell_length_a 4.777
_cell_length_b 4.777
_cell_length_c 34.531
_cell_angle_alpha 90.00
_cell_angle_beta 90.00
_cell_angle_gamma 90.00
_space_group_name_H-M_alt 'I 4/m m m'
_space_group_IT_number 139
_space_group_name_Hall '-I 4 2'
loop_
_atom_site_label
_atom_site_fract_x
_atom_site_fract_y
_atom_site_fract_z
_atom_site_occupancy
Pr1 0.000 0.000 0.207 1
Pr2 0.000 0.500 0.120 1
Dy1 0.000 0.000 0.307 1
Dy2 0.000 0.000 0.500 1
Y1 0.000 0.000 0.045 1
```

=====

model 1 takes first place; second place is 279 meV per atom up.

=====

Model 1:
The following is a DFT calculation (GGA-PBE) of crystalline PrDy5Y2 at its relaxed geometry.

Computed properties:
Magnetization ... 0.0 μB/f.u.

CIF file:
```
data_PrDy5Y2
_cell_length_a 7.150
_cell_length_b 14.306
_cell_length_c 5.039
_cell_angle_alpha 90.00
_cell_angle_beta 90.00
_cell_angle_gamma 90.00
_space_group_name_H-M_alt 'P b a m'
_space_group_IT_number 55
loop_
_space_group_symop_operation_xyz
'x,y,z'
'-x,-y,-z'
'-x,-y,z'
'x,y,-z'
'x+1/2,-y+1/2,-z'
'-x+1/2,y+1/2,z'
'-x+1/2,y+1/2,-z'
'x+1/2,-y+1/2,z'
loop_
_atom_site_label
_atom_site_fract_x
_atom_site_fract_y
_atom_site_fract_z
_atom_site_occupancy
Pr1 0.000 0.000 0.000 1
Dy1 0.000 0.251 0.000 1
Dy2 0.000 0.500 0.000 1
Dy3 0.249 0.374 0.500 1
Y1 0.250 0.126 0.500 1
```

=====

Model 2:
The following is a DFT calculation (GGA-PBE) of crystalline PrDy5Y2 at its relaxed geometry.

Computed properties:
Magnetization ... 0.0 μB/f.u.

CIF file:
```
data_PrDy5Y2
_cell_length_a 6.761
_cell_length_b 9.244
_cell_length_c 9.251
_cell_angle_alpha 86.10
_cell_angle_beta 72.14
_cell_angle_gamma 72.11
_space_group_name_H-M_alt 'P -1'
_space_group_IT_number 2
loop_
_space_group_symop_operation_xyz
'x,y,z'
'-x,-y,-z'
loop_
_atom_site_label
_atom_site_fract_x
_atom_site_fract_y
_atom_site_fract_z
_atom_site_occupancy
Pr1 0.249 0.208 0.292 1
Dy1 0.001 0.084 0.668 1
Dy2 0.001 0.583 0.166 1
Dy3 0.247 0.042 0.959 1
Dy4 0.250 0.708 0.791 1
Dy5 0.251 0.541 0.458 1
Y1 0.500 0.169 0.584 1
Y2 0.500 0.334 0.917 1
```

=====

model 2 takes first place; second place is 8 meV per atom up.

=====

Model 1:
The following is a DFT calculation (GGA-PBE) of crystalline Pr5Dy3Y at its relaxed geometry.

Computed properties:
Magnetization ... 0.0 μB/f.u.

CIF file:
```
data_Pr5Dy3Y
_cell_length_a 16.669
_cell_length_b 6.825
_cell_length_c 11.764
_cell_angle_alpha 90.00
_cell_angle_beta 110.62
_cell_angle_gamma 90.00
_space_group_name_H-M_alt 'C 1 2/c 1'
_space_group_IT_number 15
loop_
_space_group_symop_operation_xyz
'x,y,z'
'-x,-y,-z'
'-x,y,-z+1/2'
'x,-y,z+1/2'
'x+1/2,y+1/2,z'
'-x+1/2,-y+1/2,-z'
'-x+1/2,y+1/2,-z+1/2'
'x+1/2,-y+1/2,z+1/2'
loop_
_atom_site_label
_atom_site_fract_x
_atom_site_fract_y
_atom_site_fract_z
_atom_site_occupancy
Pr1 0.000 0.190 0.250 1
Pr2 0.110 0.002 0.552 1
Pr3 0.172 0.414 0.343 1
Dy1 0.000 0.500 0.000 1
Dy2 0.239 0.095 0.875 1
Y1 0.000 0.259 0.750 1
```

=====

Model 2:
The following is a DFT calculation (GGA-PBE) of crystalline Pr5Dy3Y at its relaxed geometry.

Computed properties:
Magnetization ... 0.0 μB/f.u.

CIF file:
```
data_Pr5Dy3Y
_cell_length_a 12.331
_cell_length_b 11.847
_cell_length_c 10.178
_cell_angle_alpha 90.00
_cell_angle_beta 105.59
_cell_angle_gamma 90.00
_space_group_name_H-M_alt 'C 1 2/m 1'
_space_group_IT_number 12
loop_
_space_group_symop_operation_xyz
'x,y,z'
'-x,-y,-z'
'-x,y,-z'
'x,-y,z'
'x+1/2,y+1/2,z'
'-x+1/2,-y+1/2,-z'
'-x+1/2,y+1/2,-z'
'x+1/2,-y+1/2,z'
loop_
_atom_site_label
_atom_site_fract_x
_atom_site_fract_y
_atom_site_fract_z
_atom_site_occupancy
Pr1 0.000 0.244 0.000 1
Pr2 0.101 0.248 0.388 1
Pr3 0.235 0.500 0.583 1
Pr4 0.246 0.000 0.078 1
Dy1 0.000 0.000 0.500 1
Dy2 0.000 0.500 0.000 1
Dy3 0.004 0.000 0.170 1
Dy4 0.010 0.500 0.678 1
Y1 0.248 0.500 0.257 1
```

=====

model 1 takes first place; second place is 343 meV per atom up.